(1)
Density functional theory data (PBE) for an optimized crystal structure of TlCuRh2.

Cell: 3.1896 3.1876 6.1757 Å, 90.00 90.00 90.00°
Closest atoms and distances in Å follow each position.
Positions (direct):
Cu 0.5000 0.5000 0.7500  8 Rh 2.64
Rh 0.0000 0.0000 0.9734  4 Cu 2.64, 1 Rh 2.76, 4 Tl 2.83
Rh 0.0000 0.0000 0.5266  4 Cu 2.64, 1 Rh 2.76, 4 Tl 2.83
Tl 0.5000 0.5000 0.2500  8 Rh 2.83, 2 Cu 3.09

Output
Space group: P4/mmm (123)
DOS(E_F) (states/eV/f.u.): 6.221
E_tot (eV for the cell shown): -20.60

---

(2)
Density functional theory data (PBE) for an optimized crystal structure of BeVAu.

Cell: 3.0233 3.5001 8.3222 Å, 113.41 100.50 90.00°
Closest atoms and distances in Å follow each position.
Positions (direct):
Be 0.5559 0.3166 0.1441  2 Be 2.13-2.15
Be 0.6409 0.9690 0.3095  2 Be 2.13-2.15, 1 V 2.31
Au 0.3907 0.0040 0.8109  1 Be 2.49, 4 V 2.72-2.74
Au 0.0137 0.7365 0.0582  6 Be 2.40-2.42
V 0.1978 0.5792 0.4239  6 Be 2.46-2.59, 2 V 2.59
V 0.7937 0.3242 0.6171  1 Be 2.31, 1 V 2.59

Output
Space group: P1 (1)
DOS(E_F) (states/eV/f.u.): 1.613
E_tot (eV for the cell shown): -32.57

---

(3)
Density functional theory data (PBE) for an optimized crystal structure of TlIn2Hg4Pb.

Cell: 3.8696 5.9362 10.0195 Å, 75.43 90.00 90.00°
Closest atoms and distances in Å follow each position.
Positions (direct):
Tl 0.5000 0.5000 0.0000  6 Hg 3.21-3.26, 4 In 3.54
In 0.0000 0.0000 0.0000  6 Hg 3.16-3.17
In 0.5000 0.0000 0.5000  6 Hg 3.17-3.23, 4 Pb 3.54
Hg 0.0000 0.7679 0.7475  3 In 3.17, 2 Tl 3.26, 1 Pb 3.27, 2 Hg 3.42
Hg 0.0000 0.2321 0.2525  3 In 3.17, 2 Tl 3.26, 1 Pb 3.27, 2 Hg 3.42
Hg 0.5000 0.7609 0.2441  3 In 3.16-3.23, 1 Tl 3.21, 2 Pb 3.27, 2 Hg 3.42
Hg 0.5000 0.2391 0.7559  3 In 3.16-3.23, 1 Tl 3.21, 2 Pb 3.27, 2 Hg 3.42
Pb 0.0000 0.5000 0.5000  6 Hg 3.27, 4 In 3.54

Output
Space group: P2/m (10)
DOS(E_F) (states/eV/f.u.): 2.702
E_tot (eV for the cell shown): -12.63

---

(4)
Density functional theory data (PBE) for an optimized crystal structure of HoTm3Sn2.

Cell: 4.4830 10.2905 9.4130 Å, 125.06 90.00 102.58°
Closest atoms and distances in Å follow each position.
Positions (direct):
Ho 0.8864 0.7728 0.8977  6 Sn 3.17-3.37, 1 Tm 3.51
Ho 0.1136 0.2272 0.1023  6 Sn 3.17-3.37, 1 Tm 3.51
Tm 0.3085 0.6169 0.5078  4 Sn 3.13-3.40, 4 Tm 3.19-3.29
Tm 0.9445 0.8889 0.5777  3 Sn 3.02-3.27, 3 Tm 3.29-3.31
Tm 0.6457 0.2914 0.8074  4 Sn 3.15-3.24
Tm 0.3543 0.7086 0.1926  4 Sn 3.15-3.24
Tm 0.0555 0.1111 0.4223  3 Sn 3.02-3.27, 3 Tm 3.29-3.31
Tm 0.6915 0.3831 0.4922  4 Sn 3.13-3.40, 4 Tm 3.19-3.29
Sn 0.4927 0.9855 0.8368  1 Sn 2.91, 4 Tm 3.02-3.24, 2 Ho 3.17
Sn 0.5073 0.0145 0.1632  1 Sn 2.91, 4 Tm 3.02-3.24, 2 Ho 3.17
Sn 0.7537 0.5074 0.2258  7 Tm 3.14-3.40, 2 Ho 3.23
Sn 0.2463 0.4926 0.7742  7 Tm 3.14-3.40, 2 Ho 3.23

Output
Space group: C2/m (12)
DOS(E_F) (states/eV/f.u.): 6.345
E_tot (eV for the cell shown): -57.57

---

- What is the formula in the second record?
  BeVAu